{"formula": "KBaNaZn", "functional": "PBE", "state": "optimized geometry", "lattice": [[0.000, 4.352, 4.352], [4.352, 0.000, 4.352], [4.352, 4.352, 0.000]], "species": ["K", "Ba", "Na", "Zn"], "frac_coords": [[0.000, 0.000, 0.000], [0.500, 0.500, 0.500], [0.250, 0.250, 0.250], [0.750, 0.750, 0.750]], "dft_energy_ev_per_atom": -1.316, "e_form_ev_per_atom": 0.087, "crystal_system": "cubic", "magnetic_moment_mub_per_cell": 0.000, "density_g_cm3": 2.7, "spacegroup": "F-43m"}